Entry 1:
# K6BiH3Cl8F4, optimized geometry, DFT GGA-PBEsol
# - Total energy: -169.8 eV for the cell shown
# - Crystal system: hexagonal
data_K6BiH3Cl8F4
_chemical_formula_sum 'K12 Bi2 H6 Cl16 F8'
_cell_length_a 9.054
_cell_length_b 9.054
_cell_length_c 14.411
_cell_angle_alpha 90.00
_cell_angle_beta 90.00
_cell_angle_gamma 120.00
_symmetry_space_group_name_H-M 'P 1'
_symmetry_Int_Tables_number 1
_symmetry_space_group_name_Hall 'P 1'
loop_
_atom_site_label
_atom_site_type_symbol
_atom_site_fract_x
_atom_site_fract_y
_atom_site_fract_z
K1 K 0.000 0.500 0.502
K2 K 0.500 0.000 0.502
K3 K 0.500 0.500 0.502
K4 K 0.000 0.500 0.002
K5 K 0.500 0.000 0.002
K6 K 0.500 0.500 0.002
K7 K 0.358 0.179 0.754
K8 K 0.821 0.642 0.754
K9 K 0.821 0.179 0.754
K10 K 0.642 0.821 0.254
K11 K 0.179 0.358 0.254
K12 K 0.179 0.821 0.254
Bi1 Bi 0.000 0.000 0.005
Bi2 Bi 0.000 0.000 0.505
H1 H 0.839 0.420 0.255
H2 H 0.580 0.161 0.255
H3 H 0.580 0.420 0.255
H4 H 0.161 0.580 0.755
H5 H 0.420 0.839 0.755
H6 H 0.420 0.580 0.755
Cl1 Cl 0.284 0.142 0.112
Cl2 Cl 0.858 0.716 0.112
Cl3 Cl 0.858 0.142 0.112
Cl4 Cl 0.716 0.858 0.612
Cl5 Cl 0.142 0.284 0.612
Cl6 Cl 0.142 0.858 0.612
Cl7 Cl 0.282 0.141 0.397
Cl8 Cl 0.859 0.718 0.397
Cl9 Cl 0.859 0.141 0.397
Cl10 Cl 0.718 0.859 0.897
Cl11 Cl 0.141 0.282 0.897
Cl12 Cl 0.141 0.859 0.897
Cl13 Cl 0.667 0.333 0.897
Cl14 Cl 0.333 0.667 0.397
Cl15 Cl 0.667 0.333 0.611
Cl16 Cl 0.333 0.667 0.111
F1 F 0.667 0.333 0.252
F2 F 0.333 0.667 0.752
F3 F 0.969 0.484 0.258
F4 F 0.516 0.031 0.258
F5 F 0.516 0.484 0.258
F6 F 0.031 0.516 0.758
F7 F 0.484 0.969 0.758
F8 F 0.484 0.516 0.758

Entry 2:
# BiRhClF2, optimized geometry, DFT GGA-PBEsol
# - Crystal system: tetragonal
# - ΔE_f (raw): -0.47 eV/atom
data_BiRhClF2
_chemical_formula_sum 'Bi1 Rh1 Cl1 F2'
_cell_length_a 4.397
_cell_length_b 4.397
_cell_length_c 5.669
_cell_angle_alpha 90.00
_cell_angle_beta 90.00
_cell_angle_gamma 90.00
_symmetry_space_group_name_H-M 'P 1'
_symmetry_Int_Tables_number 1
_symmetry_space_group_name_Hall 'P 1'
loop_
_atom_site_label
_atom_site_type_symbol
_atom_site_fract_x
_atom_site_fract_y
_atom_site_fract_z
F1 F 0.000 0.500 0.000
F2 F 0.500 0.000 0.000
Rh1 Rh 0.500 0.500 0.500
Bi1 Bi 0.000 0.000 0.000
Cl1 Cl 0.000 0.000 0.500

Entry 3:
# FeBiCl2, optimized geometry, DFT GGA-PBEsol
# - Crystal system: cubic
# - ΔE_f (raw): 0.38 eV/atom
data_FeBiCl2
_chemical_formula_sum 'Fe1 Bi1 Cl2'
_cell_length_a 4.854
_cell_length_b 4.854
_cell_length_c 4.854
_cell_angle_alpha 60.00
_cell_angle_beta 60.00
_cell_angle_gamma 60.00
_symmetry_space_group_name_H-M 'P 1'
_symmetry_Int_Tables_number 1
_symmetry_space_group_name_Hall 'P 1'
loop_
_atom_site_label
_atom_site_type_symbol
_atom_site_fract_x
_atom_site_fract_y
_atom_site_fract_z
Cl1 Cl 0.250 0.250 0.250
Cl2 Cl 0.750 0.750 0.750
Bi1 Bi 0.500 0.500 0.500
Fe1 Fe 0.000 0.000 0.000

Entry 4:
# HfFeBi2Cl, optimized geometry, DFT GGA-PBEsol
# - Crystal system: tetragonal
# - ΔE_f (raw): 0.28 eV/atom
data_HfFeBi2Cl
_chemical_formula_sum 'Hf1 Fe1 Bi2 Cl1'
_cell_length_a 4.778
_cell_length_b 5.007
_cell_length_c 5.007
_cell_angle_alpha 90.00
_cell_angle_beta 90.00
_cell_angle_gamma 90.00
_symmetry_space_group_name_H-M 'P 1'
_symmetry_Int_Tables_number 1
_symmetry_space_group_name_Hall 'P 1'
loop_
_atom_site_label
_atom_site_type_symbol
_atom_site_fract_x
_atom_site_fract_y
_atom_site_fract_z
Cl1 Cl 0.500 0.500 0.500
Hf1 Hf 0.500 0.000 0.000
Bi1 Bi 0.000 0.000 0.500
Bi2 Bi 0.000 0.500 0.000
Fe1 Fe 0.000 0.000 0.000

Entry 5:
# Ga2BiCl, optimized geometry, DFT GGA-PBEsol
# - Crystal system: cubic
# - ΔE_f (raw): -0.16 eV/atom
data_Ga2BiCl
_chemical_formula_sum 'Ga2 Bi1 Cl1'
_cell_length_a 5.014
_cell_length_b 5.014
_cell_length_c 5.014
_cell_angle_alpha 60.00
_cell_angle_beta 60.00
_cell_angle_gamma 60.00
_symmetry_space_group_name_H-M 'P 1'
_symmetry_Int_Tables_number 1
_symmetry_space_group_name_Hall 'P 1'
loop_
_atom_site_label
_atom_site_type_symbol
_atom_site_fract_x
_atom_site_fract_y
_atom_site_fract_z
Bi1 Bi 0.500 0.500 0.500
Ga1 Ga 0.250 0.250 0.250
Ga2 Ga 0.750 0.750 0.750
Cl1 Cl 0.000 0.000 0.000

Entry 6:
# Ga3Bi5Cl12, optimized geometry, DFT GGA-PBEsol
# - Crystal system: trigonal
# - ΔE_f (raw): -0.84 eV/atom
data_Ga3Bi5Cl12
_chemical_formula_sum 'Ga6 Bi10 Cl24'
_cell_length_a 11.691
_cell_length_b 11.691
_cell_length_c 12.082
_cell_angle_alpha 61.07
_cell_angle_beta 61.07
_cell_angle_gamma 60.00
_symmetry_space_group_name_H-M 'P 1'
_symmetry_Int_Tables_number 1
_symmetry_space_group_name_Hall 'P 1'
loop_
_atom_site_label
_atom_site_type_symbol
_atom_site_fract_x
_atom_site_fract_y
_atom_site_fract_z
Ga1 Ga 0.723 0.777 0.250
Ga2 Ga 0.777 0.250 0.250
Ga3 Ga 0.250 0.723 0.250
Ga4 Ga 0.277 0.223 0.750
Ga5 Ga 0.223 0.750 0.750
Ga6 Ga 0.750 0.277 0.750
Bi1 Bi 0.329 0.329 0.014
Bi2 Bi 0.171 0.171 0.486
Bi3 Bi 0.671 0.671 0.986
Bi4 Bi 0.829 0.829 0.514
Bi5 Bi 0.088 0.412 0.250
Bi6 Bi 0.412 0.250 0.250
Bi7 Bi 0.250 0.088 0.250
Bi8 Bi 0.912 0.588 0.750
Bi9 Bi 0.588 0.750 0.750
Bi10 Bi 0.750 0.912 0.750
Cl1 Cl 0.690 0.968 0.273
Cl2 Cl 0.968 0.069 0.273
Cl3 Cl 0.069 0.690 0.273
Cl4 Cl 0.532 0.810 0.227
Cl5 Cl 0.810 0.431 0.227
Cl6 Cl 0.431 0.532 0.227
Cl7 Cl 0.310 0.032 0.727
Cl8 Cl 0.032 0.931 0.727
Cl9 Cl 0.931 0.310 0.727
Cl10 Cl 0.468 0.190 0.773
Cl11 Cl 0.190 0.569 0.773
Cl12 Cl 0.569 0.468 0.773
Cl13 Cl 0.890 0.732 0.072
Cl14 Cl 0.732 0.306 0.072
Cl15 Cl 0.306 0.890 0.072
Cl16 Cl 0.768 0.610 0.428
Cl17 Cl 0.806 0.232 0.572
Cl18 Cl 0.390 0.806 0.572
Cl19 Cl 0.232 0.390 0.572
Cl20 Cl 0.694 0.110 0.928
Cl21 Cl 0.268 0.694 0.928
Cl22 Cl 0.110 0.268 0.928
Cl23 Cl 0.194 0.768 0.428
Cl24 Cl 0.610 0.194 0.428

Entry 7:
# GaBiOsCl2, optimized geometry, DFT GGA-PBEsol
# - Crystal system: tetragonal
# - ΔE_f (raw): 1.35 eV/atom
data_GaBiOsCl2
_chemical_formula_sum 'Ga1 Bi1 Os1 Cl2'
_cell_length_a 5.201
_cell_length_b 5.201
_cell_length_c 5.859
_cell_angle_alpha 90.00
_cell_angle_beta 90.00
_cell_angle_gamma 90.00
_symmetry_space_group_name_H-M 'P 1'
_symmetry_Int_Tables_number 1
_symmetry_space_group_name_Hall 'P 1'
loop_
_atom_site_label
_atom_site_type_symbol
_atom_site_fract_x
_atom_site_fract_y
_atom_site_fract_z
Os1 Os 0.500 0.500 0.500
Bi1 Bi 0.000 0.000 0.000
Ga1 Ga 0.000 0.000 0.500
Cl1 Cl 0.000 0.500 0.000
Cl2 Cl 0.500 0.000 0.000

Entry 8:
# Sc2GaBiCl, optimized geometry, DFT GGA-PBEsol
# - Crystal system: tetragonal
# - ΔE_f (raw): 0.07 eV/atom
data_Sc2GaBiCl
_chemical_formula_sum 'Sc2 Ga1 Bi1 Cl1'
_cell_length_a 5.134
_cell_length_b 5.227
_cell_length_c 5.227
_cell_angle_alpha 90.00
_cell_angle_beta 90.00
_cell_angle_gamma 90.00
_symmetry_space_group_name_H-M 'P 1'
_symmetry_Int_Tables_number 1
_symmetry_space_group_name_Hall 'P 1'
loop_
_atom_site_label
_atom_site_type_symbol
_atom_site_fract_x
_atom_site_fract_y
_atom_site_fract_z
Sc1 Sc 0.000 0.000 0.500
Sc2 Sc 0.000 0.500 0.000
Bi1 Bi 0.500 0.000 0.000
Ga1 Ga 0.000 0.000 0.000
Cl1 Cl 0.500 0.500 0.500

Entry 9:
# GdBi2ClO4, optimized geometry, DFT GGA-PBEsol
# - Crystal system: tetragonal
# - ΔE_f (raw): -2.05 eV/atom
data_GdBi2ClO4
_chemical_formula_sum 'Gd1 Bi2 Cl1 O4'
_cell_length_a 3.870
_cell_length_b 3.870
_cell_length_c 8.862
_cell_angle_alpha 90.00
_cell_angle_beta 90.00
_cell_angle_gamma 90.00
_symmetry_space_group_name_H-M 'P 1'
_symmetry_Int_Tables_number 1
_symmetry_space_group_name_Hall 'P 1'
loop_
_atom_site_label
_atom_site_type_symbol
_atom_site_fract_x
_atom_site_fract_y
_atom_site_fract_z
Gd1 Gd 0.000 0.000 0.000
Bi1 Bi 0.500 0.500 0.284
Bi2 Bi 0.500 0.500 0.716
Cl1 Cl 0.000 0.000 0.500
O1 O 0.500 0.000 0.842
O2 O 0.500 0.000 0.158
O3 O 0.000 0.500 0.842
O4 O 0.000 0.500 0.158

Entry 10:
# Ge2BiCl2, optimized geometry, DFT GGA-PBEsol
# - Crystal system: tetragonal
# - ΔE_f (raw): 0.01 eV/atom
data_Ge2BiCl2
_chemical_formula_sum 'Ge2 Bi1 Cl2'
_cell_length_a 4.312
_cell_length_b 4.312
_cell_length_c 6.784
_cell_angle_alpha 108.53
_cell_angle_beta 108.53
_cell_angle_gamma 90.00
_symmetry_space_group_name_H-M 'P 1'
_symmetry_Int_Tables_number 1
_symmetry_space_group_name_Hall 'P 1'
loop_
_atom_site_label
_atom_site_type_symbol
_atom_site_fract_x
_atom_site_fract_y
_atom_site_fract_z
Ge1 Ge 0.387 0.387 0.773
Ge2 Ge 0.613 0.613 0.227
Bi1 Bi 0.000 0.000 0.000
Cl1 Cl 0.250 0.750 0.500
Cl2 Cl 0.750 0.250 0.500

Entry 11:
# GeBiSCl2, optimized geometry, DFT GGA-PBEsol
# - Crystal system: tetragonal
# - ΔE_f (raw): 0.11 eV/atom
data_GeBiSCl2
_chemical_formula_sum 'Ge1 Bi1 S1 Cl2'
_cell_length_a 5.263
_cell_length_b 5.263
_cell_length_c 5.372
_cell_angle_alpha 90.00
_cell_angle_beta 90.00
_cell_angle_gamma 90.00
_symmetry_space_group_name_H-M 'P 1'
_symmetry_Int_Tables_number 1
_symmetry_space_group_name_Hall 'P 1'
loop_
_atom_site_label
_atom_site_type_symbol
_atom_site_fract_x
_atom_site_fract_y
_atom_site_fract_z
S1 S 0.000 0.000 0.500
Ge1 Ge 0.500 0.500 0.500
Bi1 Bi 0.000 0.000 0.000
Cl1 Cl 0.000 0.500 0.000
Cl2 Cl 0.500 0.000 0.000